1.
Entry from Alexandria via LeMat-Bulk: a relaxed structure of Pm4Sm2Ho (PBE-GGA).

Summary:
**E_form**: 152.2 meV/atom
**Energy above the lowest structure with this stoichiometry**: 0.000 eV per atom
**Total energy**: -4.565 eV/atom

CIF file:
```
data_Pm4Sm2Ho
_chemical_formula_sum 'Pm16 Sm8 Ho4'
_symmetry_space_group_name_H-M 'C m c e'
_symmetry_Int_Tables_number 64
_symmetry_space_group_name_Hall '-C 2ac 2'
_cell_length_a 5.3878
_cell_length_b 11.4234
_cell_length_c 15.6066
_cell_angle_alpha 90.00
_cell_angle_beta 90.00
_cell_angle_gamma 90.00
loop_
_atom_site_label
_atom_site_type_symbol
_atom_site_fract_x
_atom_site_fract_y
_atom_site_fract_z
_atom_site_occupancy
Pm1 Pm 0.0000 0.1004 0.1937 1
Pm2 Pm 0.0000 0.2053 0.4298 1
Sm1 Sm 0.0000 0.1062 0.6563 1
Ho1 Ho 0.0000 0.0000 0.0000 1
```

2.
Entry from Alexandria via LeMat-Bulk: a relaxed structure of Pm4Sm3Ho2 (PBE-GGA).

Summary:
**E_form**: 14.1 meV/atom
**Energy above the lowest structure with this stoichiometry**: 0.000 eV per atom
**Total energy**: -4.688 eV/atom

CIF file:
```
data_Pm4Sm3Ho2
_chemical_formula_sum 'Pm8 Sm6 Ho4'
_symmetry_space_group_name_H-M 'C 1 2/m 1'
_symmetry_Int_Tables_number 12
_symmetry_space_group_name_Hall '-C 2y'
_cell_length_a 11.9656
_cell_length_b 3.6195
_cell_length_c 14.8921
_cell_angle_alpha 90.00
_cell_angle_beta 111.48
_cell_angle_gamma 90.00
loop_
_atom_site_label
_atom_site_type_symbol
_atom_site_fract_x
_atom_site_fract_y
_atom_site_fract_z
_atom_site_occupancy
Pm1 Pm 0.1680 0.0000 0.1675 1
Pm2 Pm 0.2213 0.5000 0.3886 1
Sm1 Sm 0.0000 0.5000 0.5000 1
Sm2 Sm 0.1107 0.5000 0.9435 1
Ho1 Ho 0.0554 0.0000 0.7220 1
```

3.
Entry from Alexandria via LeMat-Bulk: a relaxed structure of Pm3Sm2Ho7 (PBE-GGA).

Summary:
**E_form**: 86.0 meV/atom
**Total energy**: -4.559 eV/atom

CIF file:
```
data_Pm3Sm2Ho7
_chemical_formula_sum 'Pm3 Sm2 Ho7'
_symmetry_space_group_name_H-M 'P 1 2/m 1'
_symmetry_Int_Tables_number 10
_symmetry_space_group_name_Hall '-P 2y'
_cell_length_a 5.8270
_cell_length_b 3.5759
_cell_length_c 18.8131
_cell_angle_alpha 90.00
_cell_angle_beta 93.22
_cell_angle_gamma 90.00
loop_
_atom_site_label
_atom_site_type_symbol
_atom_site_fract_x
_atom_site_fract_y
_atom_site_fract_z
_atom_site_occupancy
Pm1 Pm 0.0000 0.0000 0.0000 1
Pm2 Pm 0.2766 0.5000 0.6320 1
Sm1 Sm 0.2109 0.0000 0.2925 1
Ho1 Ho 0.1900 0.5000 0.1425 1
Ho2 Ho 0.2426 0.0000 0.4620 1
Ho3 Ho 0.3079 0.0000 0.8267 1
Ho4 Ho 0.5000 0.5000 0.0000 1
```

4.
Entry from Alexandria via LeMat-Bulk: a relaxed structure of Pm6Sm2Ho5 (PBE-GGA).

Summary:
**E_form**: 100.0 meV/atom
**Total energy**: -4.579 eV/atom

CIF file:
```
data_Pm6Sm2Ho5
_chemical_formula_sum 'Pm12 Sm4 Ho10'
_symmetry_space_group_name_H-M 'P b a m'
_symmetry_Int_Tables_number 55
_symmetry_space_group_name_Hall '-P 2 2ab'
_cell_length_a 11.7642
_cell_length_b 20.4642
_cell_length_c 3.6284
_cell_angle_alpha 90.00
_cell_angle_beta 90.00
_cell_angle_gamma 90.00
loop_
_atom_site_label
_atom_site_type_symbol
_atom_site_fract_x
_atom_site_fract_y
_atom_site_fract_z
_atom_site_occupancy
Pm1 Pm 0.0592 0.0784 0.0000 1
Pm2 Pm 0.0807 0.3659 0.0000 1
Pm3 Pm 0.1758 0.6298 0.5000 1
Sm1 Sm 0.1665 0.7863 0.0000 1
Ho1 Ho 0.0000 0.5000 0.5000 1
Ho2 Ho 0.0934 0.2238 0.5000 1
Ho3 Ho 0.1992 0.9451 0.5000 1
```

5.
Entry from Alexandria via LeMat-Bulk: a relaxed structure of Pm3Sm6Ho (PBE-GGA).

Summary:
**E_form**: 141.3 meV/atom
**Energy above the lowest structure with this stoichiometry**: 0.000 eV per atom
**Total energy**: -4.573 eV/atom

CIF file:
```
data_Pm3Sm6Ho
_chemical_formula_sum 'Pm12 Sm24 Ho4'
_symmetry_space_group_name_H-M 'C m c 21'
_symmetry_Int_Tables_number 36
_symmetry_space_group_name_Hall 'C 2c -2'
_cell_length_a 10.9674
_cell_length_b 19.2000
_cell_length_c 6.4544
_cell_angle_alpha 90.00
_cell_angle_beta 90.00
_cell_angle_gamma 90.00
loop_
_atom_site_label
_atom_site_type_symbol
_atom_site_fract_x
_atom_site_fract_y
_atom_site_fract_z
_atom_site_occupancy
Pm1 Pm 0.0000 0.1143 0.0000 1
Pm2 Pm 0.1742 0.3843 0.3845 1
Sm1 Sm 0.0000 0.2244 0.5722 1
Sm2 Sm 0.0000 0.4640 0.7865 1
Sm3 Sm 0.1696 0.0430 0.4771 1
Sm4 Sm 0.2345 0.2090 0.2888 1
Ho1 Ho 0.0000 0.3073 0.0398 1
```

6.
Entry from Alexandria via LeMat-Bulk: a relaxed structure of Pm2Sm7Ho4 (PBE-GGA).

Summary:
**E_form**: 16.1 meV/atom
**Total energy**: -4.664 eV/atom

CIF file:
```
data_Pm2Sm7Ho4
_chemical_formula_sum 'Pm2 Sm7 Ho4'
_symmetry_space_group_name_H-M 'P -1'
_symmetry_Int_Tables_number 2
_symmetry_space_group_name_Hall '-P 1'
_cell_length_a 6.2216
_cell_length_b 8.0482
_cell_length_c 9.5267
_cell_angle_alpha 65.07
_cell_angle_beta 83.78
_cell_angle_gamma 82.61
loop_
_atom_site_label
_atom_site_type_symbol
_atom_site_fract_x
_atom_site_fract_y
_atom_site_fract_z
_atom_site_occupancy
Pm1 Pm 0.1551 0.1922 0.3841 1
Sm1 Sm 0.0000 0.5000 0.0000 1
Sm2 Sm 0.0755 0.3452 0.6937 1
Sm3 Sm 0.2315 0.0381 0.0770 1
Sm4 Sm 0.3861 0.7304 0.4617 1
Ho1 Ho 0.3071 0.8826 0.7713 1
Ho2 Ho 0.4623 0.5762 0.1524 1
```

7.
Entry from Alexandria via LeMat-Bulk: a relaxed structure of Pm3SmHo4 (PBE-GGA).

Summary:
**E_form**: 16.3 meV/atom
**Energy above the lowest structure with this stoichiometry**: 0.000 eV per atom
**Total energy**: -4.644 eV/atom

CIF file:
```
data_Pm3SmHo4
_chemical_formula_sum 'Pm3 Sm1 Ho4'
_symmetry_space_group_name_H-M 'P 1 2/m 1'
_symmetry_Int_Tables_number 10
_symmetry_space_group_name_Hall '-P 2y'
_cell_length_a 6.2119
_cell_length_b 3.5932
_cell_length_c 11.8194
_cell_angle_alpha 90.00
_cell_angle_beta 100.21
_cell_angle_gamma 90.00
loop_
_atom_site_label
_atom_site_type_symbol
_atom_site_fract_x
_atom_site_fract_y
_atom_site_fract_z
_atom_site_occupancy
Pm1 Pm 0.0000 0.0000 0.0000 1
Pm2 Pm 0.0000 0.5000 0.5000 1
Pm3 Pm 0.5000 0.0000 0.5000 1
Sm1 Sm 0.5000 0.5000 0.0000 1
Ho1 Ho 0.2501 0.0000 0.7504 1
Ho2 Ho 0.2501 0.5000 0.2498 1
```

8.
Entry from Alexandria via LeMat-Bulk: a relaxed structure of Pm2SmHo4 (PBE-GGA).

Summary:
**E_form**: 269.6 meV/atom
**Energy above the lowest structure with this stoichiometry**: 0.225 eV per atom
**Total energy**: -4.378 eV/atom

CIF file:
```
data_Pm2SmHo4
_chemical_formula_sum 'Pm4 Sm2 Ho8'
_symmetry_space_group_name_H-M 'I 4/m m m'
_symmetry_Int_Tables_number 139
_symmetry_space_group_name_Hall '-I 4 2'
_cell_length_a 4.5497
_cell_length_b 4.5497
_cell_length_c 22.5654
_cell_angle_alpha 90.00
_cell_angle_beta 90.00
_cell_angle_gamma 90.00
loop_
_atom_site_label
_atom_site_type_symbol
_atom_site_fract_x
_atom_site_fract_y
_atom_site_fract_z
_atom_site_occupancy
Pm1 Pm 0.0000 0.0000 0.0971 1
Sm1 Sm 0.0000 0.0000 0.5000 1
Ho1 Ho 0.0000 0.0000 0.3600 1
Ho2 Ho 0.0000 0.5000 0.2500 1
```

9.
Entry from Alexandria via LeMat-Bulk: a relaxed structure of Pm2SmHo6 (PBE-GGA).

Summary:
**E_form**: 375.9 meV/atom
**Energy above the lowest structure with this stoichiometry**: 0.269 eV per atom
**Total energy**: -4.256 eV/atom

CIF file:
```
data_Pm2SmHo6
_chemical_formula_sum 'Pm6 Sm3 Ho18'
_symmetry_space_group_name_H-M 'R 3 m'
_symmetry_Int_Tables_number 160
_symmetry_space_group_name_Hall 'R 3 -2"'
_cell_length_a 6.9500
_cell_length_b 6.9500
_cell_length_c 22.9776
_cell_angle_alpha 90.00
_cell_angle_beta 90.00
_cell_angle_gamma 120.00
loop_
_atom_site_label
_atom_site_type_symbol
_atom_site_fract_x
_atom_site_fract_y
_atom_site_fract_z
_atom_site_occupancy
Pm1 Pm 0.0000 0.0000 0.0000 1
Pm2 Pm 0.0000 0.0000 0.1603 1
Sm1 Sm 0.0000 0.0000 0.4086 1
Ho1 Ho 0.0067 0.5034 0.9652 1
Ho2 Ho 0.1694 0.3388 0.5198 1
```

10.
Entry from Alexandria via LeMat-Bulk: a relaxed structure of Pm2Sm5Ho12 (PBE-GGA).

Summary:
**E_form**: 127.1 meV/atom
**Energy above the lowest structure with this stoichiometry**: 0.108 eV per atom
**Total energy**: -4.506 eV/atom

CIF file:
```
data_Pm2Sm5Ho12
_chemical_formula_sum 'Pm4 Sm10 Ho24'
_symmetry_space_group_name_H-M 'C 1 2/m 1'
_symmetry_Int_Tables_number 12
_symmetry_space_group_name_Hall '-C 2y'
_cell_length_a 15.5904
_cell_length_b 9.2859
_cell_length_c 8.6210
_cell_angle_alpha 90.00
_cell_angle_beta 92.17
_cell_angle_gamma 90.00
loop_
_atom_site_label
_atom_site_type_symbol
_atom_site_fract_x
_atom_site_fract_y
_atom_site_fract_z
_atom_site_occupancy
Pm1 Pm 0.0000 0.1750 0.0000 1
Sm1 Sm 0.0000 0.5000 0.5000 1
Sm2 Sm 0.2061 0.0000 0.0190 1
Sm3 Sm 0.2304 0.5000 0.5721 1
Ho1 Ho 0.0572 0.0000 0.3353 1
Ho2 Ho 0.0765 0.5000 0.8754 1
Ho3 Ho 0.1294 0.1900 0.6641 1
Ho4 Ho 0.1493 0.3214 0.2411 1
```

11.
Entry from Alexandria via LeMat-Bulk: a relaxed structure of PmSm2Ho6 (PBE-GGA).

Summary:
**E_form**: 106.4 meV/atom
**Energy above the lowest structure with this stoichiometry**: 0.000 eV per atom
**Total energy**: -4.522 eV/atom

CIF file:
```
data_PmSm2Ho6
_chemical_formula_sum 'Pm2 Sm4 Ho12'
_symmetry_space_group_name_H-M 'I m m m'
_symmetry_Int_Tables_number 71
_symmetry_space_group_name_Hall '-I 2 2'
_cell_length_a 3.4869
_cell_length_b 10.2887
_cell_length_c 16.2066
_cell_angle_alpha 90.00
_cell_angle_beta 90.00
_cell_angle_gamma 90.00
loop_
_atom_site_label
_atom_site_type_symbol
_atom_site_fract_x
_atom_site_fract_y
_atom_site_fract_z
_atom_site_occupancy
Pm1 Pm 0.0000 0.0000 0.0000 1
Sm1 Sm 0.0000 0.5000 0.1575 1
Ho1 Ho 0.0000 0.1671 0.1778 1
Ho2 Ho 0.0000 0.1852 0.5000 1
```

12.
Entry from Alexandria via LeMat-Bulk: a relaxed structure of Pm4Sm3Ho (PBE-GGA).

Summary:
**E_form**: 29.0 meV/atom
**Energy above the lowest structure with this stoichiometry**: 0.000 eV per atom
**Total energy**: -4.688 eV/atom

CIF file:
```
data_Pm4Sm3Ho
_chemical_formula_sum 'Pm8 Sm6 Ho2'
_symmetry_space_group_name_H-M 'P m n 21'
_symmetry_Int_Tables_number 31
_symmetry_space_group_name_Hall 'P 2ac -2'
_cell_length_a 11.6832
_cell_length_b 7.3474
_cell_length_c 6.3517
_cell_angle_alpha 90.00
_cell_angle_beta 90.00
_cell_angle_gamma 90.00
loop_
_atom_site_label
_atom_site_type_symbol
_atom_site_fract_x
_atom_site_fract_y
_atom_site_fract_z
_atom_site_occupancy
Pm1 Pm 0.0000 0.1251 0.0000 1
Pm2 Pm 0.0000 0.8744 0.5031 1
Pm3 Pm 0.2481 0.1265 0.3345 1
Sm1 Sm 0.0000 0.6244 0.0017 1
Sm2 Sm 0.2500 0.3760 0.8340 1
Ho1 Ho 0.0000 0.3763 0.5009 1
```